Record 1
! PBE KEuHf2O6, relaxed; values from VASP
&SYSTEM
  ibrav = 0, nat = 10, ntyp = 4
/
ATOMIC_SPECIES
K 39.10 K.upf
Eu 151.96 Eu.upf
Hf 178.49 Hf.upf
O 16.00 O.upf
CELL_PARAMETERS angstrom
0.000 4.136 4.136
4.136 0.000 4.136
4.136 4.136 0.000
ATOMIC_POSITIONS crystal
K 0.000 0.000 0.000
Eu 0.500 0.500 0.500
Hf 0.250 0.250 0.250
Hf 0.750 0.750 0.750
O 0.000 0.000 0.500
O 0.000 0.500 0.000
O 0.000 0.500 0.500
O 0.500 0.000 0.000
O 0.500 0.000 0.500
O 0.500 0.500 0.000
! size of the total moment: 6.0 μB per cell
! space-group type: Fm-3m (225)
! formation energy from raw total energies: -3000 meV per atom
! crystal system: cubic
! calculated volume: 14.155 Å³ per atom


Record 2
! PBE KEuHfSnO6, relaxed; values from VASP
&SYSTEM
  ibrav = 0, nat = 10, ntyp = 5
/
ATOMIC_SPECIES
K 39.10 K.upf
Eu 151.96 Eu.upf
Hf 178.49 Hf.upf
Sn 118.71 Sn.upf
O 16.00 O.upf
CELL_PARAMETERS angstrom
0.000 4.118 4.118
4.118 0.000 4.118
4.118 4.118 0.000
ATOMIC_POSITIONS crystal
K 0.000 0.000 0.000
Eu 0.500 0.500 0.500
Hf 0.750 0.750 0.750
Sn 0.250 0.250 0.250
O 0.000 0.000 0.500
O 0.000 0.500 0.000
O 0.000 0.500 0.500
O 0.500 0.000 0.000
O 0.500 0.000 0.500
O 0.500 0.500 0.000
! size of the total moment: 6.0 μB per cell
! space-group type: F-43m (216)
! formation energy from raw total energies: -2421 meV per atom
! crystal system: cubic
! calculated volume: 13.965 Å³ per atom


no.,uncorrected energy (eV per cell)
1,-91.03
2,-79.29